1.
ReOsCl: optimized geometry, GGA-PBEsol.

Computed properties:
E_form (uncorrected) in eV/atom: 1.17
Density of states at the Fermi level in states/eV/atom: 1.034
SG: F-43m (216)

```
ReOsCl
1.0
0.000 2.946 2.946
2.946 0.000 2.946
2.946 2.946 0.000
Re Os Cl
1 1 1
direct
0.000 0.000 0.000 Re
0.250 0.250 0.250 Os
0.750 0.750 0.750 Cl
```


2.
ReSnOsCl2: optimized geometry, GGA-PBEsol.

Computed properties:
E_form (uncorrected) in eV/atom: 2.27
Density of states at the Fermi level in states/eV/atom: 1.165
SG: P4/mmm (123)

```
ReSnOsCl2
1.0
4.858 0.000 0.000
0.000 4.858 0.000
0.000 0.000 5.529
Re Sn Os Cl
1 1 1 2
direct
0.000 0.000 0.000 Re
0.000 0.000 0.500 Sn
0.500 0.500 0.000 Os
0.000 0.500 0.500 Cl
0.500 0.000 0.500 Cl
```


3.
OsRhCl2: optimized geometry, GGA-PBEsol.

Computed properties:
E_form (uncorrected) in eV/atom: 0.27
Density of states at the Fermi level in states/eV/atom: 0.499
SG: P4mm (99)

```
OsRhCl2
1.0
2.906 0.000 0.000
0.000 2.906 0.000
0.000 0.000 8.005
Os Rh Cl
1 1 2
direct
0.000 0.000 0.000 Os
0.500 0.500 0.196 Rh
0.000 0.000 0.405 Cl
0.500 0.500 0.790 Cl
```


4.
OsRhCl2: optimized geometry, GGA-PBEsol.

Computed properties:
E_form (uncorrected) in eV/atom: 1.09
Density of states at the Fermi level in states/eV/atom: 1.151
SG: F-43m (216)

```
OsRhCl2
1.0
0.000 3.113 3.113
3.113 0.000 3.113
3.113 3.113 0.000
Os Rh Cl
1 1 2
direct
0.000 0.000 0.000 Os
0.750 0.750 0.750 Rh
0.250 0.250 0.250 Cl
0.500 0.500 0.500 Cl
```


5.
OsRhCl2: optimized geometry, GGA-PBEsol.

Computed properties:
E_form (uncorrected) in eV/atom: 0.55
Density of states at the Fermi level in states/eV/atom: 1.151
SG: Immm (71)

```
OsRhCl2
1.0
-1.425 2.255 6.082
1.425 -2.255 6.082
1.425 2.255 -6.082
Os Rh Cl
1 1 2
direct
0.000 0.000 0.000 Os
0.500 0.500 0.000 Rh
0.155 0.655 0.500 Cl
0.845 0.345 0.500 Cl
```


6.
OsRhCl2: optimized geometry, GGA-PBEsol.

Computed properties:
E_form (uncorrected) in eV/atom: 0.80
Density of states at the Fermi level in states/eV/atom: 1.215
SG: Imm2 (44)

```
OsRhCl2
1.0
-1.414 2.124 5.305
1.414 -2.124 5.305
1.414 2.124 -5.305
Os Rh Cl
1 1 2
direct
0.000 0.000 0.000 Os
0.802 0.302 0.500 Rh
0.208 0.708 0.500 Cl
0.502 0.502 0.000 Cl
```


7.
Os3RhCl: optimized geometry, GGA-PBEsol.

Computed properties:
E_form (uncorrected) in eV/atom: 1.93
Density of states at the Fermi level in states/eV/atom: 1.204
SG: Pm-3m (221)

```
Os3RhCl
1.0
4.258 0.000 0.000
0.000 4.258 0.000
0.000 0.000 4.258
Os Rh Cl
3 1 1
direct
0.000 0.000 0.500 Os
0.000 0.500 0.000 Os
0.500 0.000 0.000 Os
0.500 0.500 0.500 Rh
0.000 0.000 0.000 Cl
```


8.
OsRuCl4: optimized geometry, GGA-PBEsol.

Computed properties:
E_form (uncorrected) in eV/atom: 1.97
Density of states at the Fermi level in states/eV/atom: 1.303
SG: F-43m (216)

```
OsRuCl4
1.0
0.000 3.816 3.816
3.816 0.000 3.816
3.816 3.816 0.000
Os Ru Cl
1 1 4
direct
0.000 0.000 0.000 Os
0.750 0.750 0.750 Ru
0.375 0.375 0.375 Cl
0.375 0.375 0.875 Cl
0.375 0.875 0.375 Cl
0.875 0.375 0.375 Cl
```


9.
OsRuCl2: optimized geometry, GGA-PBEsol.

Computed properties:
E_form (uncorrected) in eV/atom: 1.16
Density of states at the Fermi level in states/eV/atom: 1.444
SG: F-43m (216)

```
OsRuCl2
1.0
0.000 3.100 3.100
3.100 0.000 3.100
3.100 3.100 0.000
Os Ru Cl
1 1 2
direct
0.000 0.000 0.000 Os
0.250 0.250 0.250 Ru
0.500 0.500 0.500 Cl
0.750 0.750 0.750 Cl
```


10.
OsRuS2Cl: optimized geometry, GGA-PBEsol.

Computed properties:
E_form (uncorrected) in eV/atom: 1.31
Density of states at the Fermi level in states/eV/atom: 1.239
SG: P4/mmm (123)

```
OsRuS2Cl
1.0
4.490 0.000 0.000
0.000 4.490 0.000
0.000 0.000 4.601
Os Ru S Cl
1 1 2 1
direct
0.000 0.000 0.000 Os
0.500 0.500 0.500 Ru
0.000 0.500 0.500 S
0.500 0.000 0.500 S
0.500 0.500 0.000 Cl
```


11.
OsRuSCl2: optimized geometry, GGA-PBEsol.

Computed properties:
E_form (uncorrected) in eV/atom: 1.13
Density of states at the Fermi level in states/eV/atom: 1.100
SG: P4/mmm (123)

```
OsRuSCl2
1.0
4.805 0.000 0.000
0.000 4.805 0.000
0.000 0.000 4.373
Os Ru S Cl
1 1 1 2
direct
0.000 0.000 0.000 Os
0.500 0.500 0.500 Ru
0.000 0.000 0.500 S
0.000 0.500 0.000 Cl
0.500 0.000 0.000 Cl
```


12.
OsS2Cl12: optimized geometry, GGA-PBEsol.

Computed properties:
E_form (uncorrected) in eV/atom: -0.29
Density of states at the Fermi level in states/eV/atom: 0.373
SG: R-3m (166)

```
OsS2Cl12
1.0
5.350 3.089 4.612
-5.350 3.089 4.612
0.000 -6.178 4.612
Os S Cl
1 2 12
direct
0.000 0.000 0.000 Os
0.260 0.260 0.260 S
0.740 0.740 0.740 S
0.103 0.800 0.800 Cl
0.200 0.200 0.897 Cl
0.200 0.897 0.200 Cl
0.229 0.229 0.523 Cl
0.229 0.523 0.229 Cl
0.477 0.771 0.771 Cl
0.523 0.229 0.229 Cl
0.771 0.477 0.771 Cl
0.771 0.771 0.477 Cl
0.800 0.103 0.800 Cl
0.800 0.800 0.103 Cl
0.897 0.200 0.200 Cl
```


13.
OsSCl3: optimized geometry, GGA-PBEsol.

Computed properties:
E_form (uncorrected) in eV/atom: 0.62
Density of states at the Fermi level in states/eV/atom: 0.959
SG: Pm-3m (221)

```
OsSCl3
1.0
4.661 0.000 0.000
0.000 4.661 0.000
0.000 0.000 4.661
Os S Cl
1 1 3
direct
0.000 0.000 0.000 Os
0.500 0.500 0.500 S
0.000 0.000 0.500 Cl
0.000 0.500 0.000 Cl
0.500 0.000 0.000 Cl
```


14.
ScOsSCl2: optimized geometry, GGA-PBEsol.

Computed properties:
E_form (uncorrected) in eV/atom: 0.28
Density of states at the Fermi level in states/eV/atom: 1.299
SG: P4/mmm (123)

```
ScOsSCl2
1.0
4.785 0.000 0.000
0.000 4.785 0.000
0.000 0.000 5.001
Sc Os S Cl
1 1 1 2
direct
0.000 0.000 0.000 Sc
0.500 0.500 0.500 Os
0.000 0.000 0.500 S
0.000 0.500 0.000 Cl
0.500 0.000 0.000 Cl
```


15.
OsSeS2Cl: optimized geometry, GGA-PBEsol.

Computed properties:
E_form (uncorrected) in eV/atom: 0.49
Density of states at the Fermi level in states/eV/atom: 0.806
SG: P4/mmm (123)

```
OsSeS2Cl
1.0
4.526 0.000 0.000
0.000 4.526 0.000
0.000 0.000 4.690
Os Se S Cl
1 1 2 1
direct
0.000 0.000 0.000 Os
0.500 0.500 0.500 Se
0.000 0.500 0.000 S
0.500 0.000 0.000 S
0.000 0.000 0.500 Cl
```


16.
OsSeSCl2: optimized geometry, GGA-PBEsol.

Computed properties:
E_form (uncorrected) in eV/atom: 1.51
Density of states at the Fermi level in states/eV/atom: 1.321
SG: P4/mmm (123)

```
OsSeSCl2
1.0
4.768 0.000 0.000
0.000 4.768 0.000
0.000 0.000 4.954
Os Se S Cl
1 1 1 2
direct
0.000 0.000 0.000 Os
0.500 0.500 0.500 Se
0.500 0.500 0.000 S
0.000 0.500 0.500 Cl
0.500 0.000 0.500 Cl
```


17.
TiOsS2Cl: optimized geometry, GGA-PBEsol.

Computed properties:
E_form (uncorrected) in eV/atom: 0.62
Density of states at the Fermi level in states/eV/atom: 1.220
SG: P4/mmm (123)

```
TiOsS2Cl
1.0
4.649 0.000 0.000
0.000 4.649 0.000
0.000 0.000 4.502
Ti Os S Cl
1 1 2 1
direct
0.000 0.000 0.000 Ti
0.500 0.500 0.500 Os
0.000 0.500 0.000 S
0.500 0.000 0.000 S
0.000 0.000 0.500 Cl
```


18.
TiOsSCl2: optimized geometry, GGA-PBEsol.

Computed properties:
E_form (uncorrected) in eV/atom: 0.56
Density of states at the Fermi level in states/eV/atom: 1.318
SG: P4/mmm (123)

```
TiOsSCl2
1.0
4.587 0.000 0.000
0.000 4.587 0.000
0.000 0.000 4.777
Ti Os S Cl
1 1 1 2
direct
0.000 0.000 0.000 Ti
0.500 0.500 0.500 Os
0.000 0.000 0.500 S
0.000 0.500 0.000 Cl
0.500 0.000 0.000 Cl
```


19.
OsWSCl2: optimized geometry, GGA-PBEsol.

Computed properties:
E_form (uncorrected) in eV/atom: 1.43
Density of states at the Fermi level in states/eV/atom: 1.190
SG: P4/mmm (123)

```
OsWSCl2
1.0
4.748 0.000 0.000
0.000 4.748 0.000
0.000 0.000 4.466
Os W S Cl
1 1 1 2
direct
0.000 0.000 0.000 Os
0.500 0.500 0.500 W
0.000 0.000 0.500 S
0.000 0.500 0.000 Cl
0.500 0.000 0.000 Cl
```


20.
SbOs2Cl: optimized geometry, GGA-PBEsol.

Computed properties:
E_form (uncorrected) in eV/atom: 1.05
Density of states at the Fermi level in states/eV/atom: 0.662
SG: Fm-3m (225)

```
SbOs2Cl
1.0
0.000 3.164 3.164
3.164 0.000 3.164
3.164 3.164 0.000
Sb Os Cl
1 2 1
direct
0.000 0.000 0.000 Sb
0.250 0.250 0.250 Os
0.750 0.750 0.750 Os
0.500 0.500 0.500 Cl
```


21.
ScOsCl3: optimized geometry, GGA-PBEsol.

Computed properties:
E_form (uncorrected) in eV/atom: 0.20
Density of states at the Fermi level in states/eV/atom: 1.074
SG: Pm-3m (221)

```
ScOsCl3
1.0
4.697 0.000 0.000
0.000 4.697 0.000
0.000 0.000 4.697
Sc Os Cl
1 1 3
direct
0.000 0.000 0.000 Sc
0.500 0.500 0.500 Os
0.000 0.500 0.500 Cl
0.500 0.000 0.500 Cl
0.500 0.500 0.000 Cl
```


22.
ScOs3Cl: optimized geometry, GGA-PBEsol.

Computed properties:
E_form (uncorrected) in eV/atom: 2.84
Density of states at the Fermi level in states/eV/atom: 1.151
SG: Pm-3m (221)

```
ScOs3Cl
1.0
4.704 0.000 0.000
0.000 4.704 0.000
0.000 0.000 4.704
Sc Os Cl
1 3 1
direct
0.000 0.000 0.000 Sc
0.000 0.000 0.500 Os
0.000 0.500 0.000 Os
0.500 0.000 0.000 Os
0.500 0.500 0.500 Cl
```


23.
SiOs4Cl: optimized geometry, GGA-PBEsol.

Computed properties:
E_form (uncorrected) in eV/atom: 1.48
Density of states at the Fermi level in states/eV/atom: 1.947
SG: F-43m (216)

```
SiOs4Cl
1.0
0.000 3.651 3.651
3.651 0.000 3.651
3.651 3.651 0.000
Si Os Cl
1 4 1
direct
0.000 0.000 0.000 Si
0.374 0.374 0.374 Os
0.374 0.374 0.877 Os
0.374 0.877 0.374 Os
0.877 0.374 0.374 Os
0.750 0.750 0.750 Cl
```


24.
Sn3OsCl: optimized geometry, GGA-PBEsol.

Computed properties:
E_form (uncorrected) in eV/atom: 1.44
Density of states at the Fermi level in states/eV/atom: 1.265
SG: Pm-3m (221)

```
Sn3OsCl
1.0
5.045 0.000 0.000
0.000 5.045 0.000
0.000 0.000 5.045
Sn Os Cl
3 1 1
direct
0.000 0.000 0.500 Sn
0.000 0.500 0.000 Sn
0.500 0.000 0.000 Sn
0.500 0.500 0.500 Os
0.000 0.000 0.000 Cl
```


25.
Sr2OsCl2: optimized geometry, GGA-PBEsol.

Computed properties:
E_form (uncorrected) in eV/atom: -0.37
Density of states at the Fermi level in states/eV/atom: 1.180
SG: I4/mmm (139)

```
Sr2OsCl2
1.0
-2.191 2.191 7.297
2.191 -2.191 7.297
2.191 2.191 -7.297
Sr Os Cl
2 1 2
direct
0.124 0.124 0.000 Sr
0.876 0.876 0.000 Sr
0.500 0.500 0.000 Os
0.250 0.750 0.500 Cl
0.750 0.250 0.500 Cl
```


26.
SrOsCl2: optimized geometry, GGA-PBEsol.

Computed properties:
E_form (uncorrected) in eV/atom: 0.10
Density of states at the Fermi level in states/eV/atom: 1.296
SG: I-4m2 (119)

```
SrOsCl2
1.0
-1.932 1.932 5.686
1.932 -1.932 5.686
1.932 1.932 -5.686
Sr Os Cl
1 1 2
direct
0.000 0.000 0.000 Sr
0.250 0.750 0.500 Os
0.500 0.500 0.000 Cl
0.750 0.250 0.500 Cl
```


27.
SrOsCl2: optimized geometry, GGA-PBEsol.

Computed properties:
E_form (uncorrected) in eV/atom: 0.03
Density of states at the Fermi level in states/eV/atom: 0.620
SG: P4/mmm (123)

```
SrOsCl2
1.0
4.640 0.000 0.000
0.000 4.640 0.000
0.000 0.000 3.390
Sr Os Cl
1 1 2
direct
0.000 0.000 0.000 Sr
0.500 0.500 0.000 Os
0.000 0.500 0.500 Cl
0.500 0.000 0.500 Cl
```


28.
TaOs2Cl: optimized geometry, GGA-PBEsol.

Computed properties:
E_form (uncorrected) in eV/atom: 0.25
Density of states at the Fermi level in states/eV/atom: 0.839
SG: P4mm (99)

```
TaOs2Cl
1.0
2.808 0.000 0.000
0.000 2.808 0.000
0.000 0.000 8.661
Ta Os Cl
1 2 1
direct
0.000 0.000 0.000 Ta
0.000 0.000 0.570 Os
0.500 0.500 0.763 Os
0.500 0.500 0.189 Cl
```


29.
TaOsCl: optimized geometry, GGA-PBEsol.

Computed properties:
E_form (uncorrected) in eV/atom: 0.28
Density of states at the Fermi level in states/eV/atom: 0.277
SG: P3m1 (156)

```
TaOsCl
1.0
4.229 0.000 0.000
-2.115 3.663 0.000
0.000 0.000 2.944
Ta Os Cl
1 1 1
direct
0.000 0.000 0.000 Ta
0.333 0.667 0.472 Os
0.667 0.333 0.149 Cl
```